[1]
Compound: LiCuMo2
Source: Alexandria via LeMat-Bulk
Functional: GGA-PBEsol
Structure: optimized geometry

Cell and atoms, written as CIF:
```
data_LiCuMo2
_space_group_name_H-M_alt 'F m -3 m'
_space_group_IT_number 225
_space_group_name_Hall '-F 4 2 3'
_cell_length_a 5.9520
_cell_length_b 5.9520
_cell_length_c 5.9520
_cell_angle_alpha 90.00
_cell_angle_beta 90.00
_cell_angle_gamma 90.00
loop_
_atom_site_label
_atom_site_fract_x
_atom_site_fract_y
_atom_site_fract_z
Li1 0.0000 0.0000 0.0000
Cu1 0.0000 0.0000 0.5000
Mo1 0.2500 0.2500 0.2500
```

Summary:
The energy comes out at -6.763 eV/atom. The value obtained for the formation energy is 695.7 meV/atom. The magnetization is 0.0000 μB per atom.

---

[2]
Compound: YNi2Os
Source: Alexandria via LeMat-Bulk
Functional: GGA-PBEsol
Structure: optimized geometry

Cell and atoms, written as CIF:
```
data_YNi2Os
_space_group_name_H-M_alt 'P 1 m 1'
_space_group_IT_number 6
_cell_length_a 2.8024
_cell_length_b 4.1404
_cell_length_c 5.1773
_cell_angle_alpha 90.00
_cell_angle_beta 104.88
_cell_angle_gamma 90.00
loop_
_space_group_symop_operation_xyz
'x,y,z'
'x,-y,z'
loop_
_atom_site_label
_atom_site_fract_x
_atom_site_fract_y
_atom_site_fract_z
Y1 0.0000 0.0000 0.0000
Ni1 0.6021 0.5000 0.2154
Ni2 0.7185 0.0000 0.4862
Os1 0.2995 0.5000 0.6256
```

Summary:
The energy comes out at -7.816 eV/atom. The value obtained for the formation energy is 22.6 meV/atom. The magnetization is 0.0000 μB per atom.

---

[3]
Compound: HgRu2Cl
Source: Alexandria via LeMat-Bulk
Functional: GGA-PBEsol
Structure: optimized geometry

Cell and atoms, written as CIF:
```
data_HgRu2Cl
_space_group_name_H-M_alt 'C m m m'
_space_group_IT_number 65
_space_group_name_Hall '-C 2 2'
_cell_length_a 2.8319
_cell_length_b 5.0779
_cell_length_c 8.6708
_cell_angle_alpha 90.00
_cell_angle_beta 90.00
_cell_angle_gamma 90.00
loop_
_atom_site_label
_atom_site_fract_x
_atom_site_fract_y
_atom_site_fract_z
Hg1 0.0000 0.0000 0.0000
Ru1 0.0000 0.5000 0.2740
Cl1 0.0000 0.0000 0.5000
```

Summary:
The energy comes out at -5.031 eV/atom. The magnetization is 0.0004 μB per atom. The formation energy (no corrections) comes out at 0.699 eV per atom.

---

[4]
Compound: CaHgPt2
Source: Alexandria via LeMat-Bulk
Functional: GGA-PBEsol
Structure: optimized geometry

Cell and atoms, written as CIF:
```
data_CaHgPt2
_space_group_name_H-M_alt 'P 4/m m m'
_space_group_IT_number 123
_space_group_name_Hall '-P 4 2'
_cell_length_a 3.0807
_cell_length_b 3.0807
_cell_length_c 7.7554
_cell_angle_alpha 90.00
_cell_angle_beta 90.00
_cell_angle_gamma 90.00
loop_
_atom_site_label
_atom_site_fract_x
_atom_site_fract_y
_atom_site_fract_z
Ca1 0.0000 0.0000 0.0000
Hg1 0.0000 0.0000 0.5000
Pt1 0.5000 0.5000 0.2617
```

Summary:
The energy comes out at -4.496 eV/atom. The value obtained for the formation energy is -339.3 meV/atom. The magnetization is 0.0000 μB per atom.

---

[5]
Compound: BaBi2Sb2
Source: Alexandria via LeMat-Bulk
Functional: GGA-PBEsol
Structure: optimized geometry

Cell and atoms, written as CIF:
```
data_BaBi2Sb2
_space_group_name_H-M_alt 'I 4/m m m'
_space_group_IT_number 139
_space_group_name_Hall '-I 4 2'
_cell_length_a 4.7107
_cell_length_b 4.7107
_cell_length_c 15.3545
_cell_angle_alpha 90.00
_cell_angle_beta 90.00
_cell_angle_gamma 90.00
loop_
_atom_site_label
_atom_site_fract_x
_atom_site_fract_y
_atom_site_fract_z
Ba1 0.0000 0.0000 0.0000
Bi1 0.0000 0.5000 0.2500
Sb1 0.0000 0.0000 0.4065
```

Summary:
The energy comes out at -4.295 eV/atom. The magnetization is 0.0000 μB per atom. The formation energy (no corrections) comes out at -0.328 eV per atom.

---

[6]
Compound: Li2La2Tl
Source: Alexandria via LeMat-Bulk
Functional: GGA-PBEsol
Structure: optimized geometry

Cell and atoms, written as CIF:
```
data_Li2La2Tl
_space_group_name_H-M_alt 'P 4/m b m'
_space_group_IT_number 127
_space_group_name_Hall '-P 4 2ab'
_cell_length_a 6.9823
_cell_length_b 6.9823
_cell_length_c 5.1183
_cell_angle_alpha 90.00
_cell_angle_beta 90.00
_cell_angle_gamma 90.00
loop_
_atom_site_label
_atom_site_fract_x
_atom_site_fract_y
_atom_site_fract_z
Li1 0.1329 0.3671 0.0000
La1 0.1805 0.6805 0.5000
Tl1 0.0000 0.0000 0.0000
```

Summary:
The energy comes out at -3.603 eV/atom. The value obtained for the formation energy is -152.3 meV/atom. The magnetization is 0.0000 μB per atom.

---

[7]
Compound: CaYRe2
Source: Alexandria via LeMat-Bulk
Functional: GGA-PBEsol
Structure: optimized geometry

Cell and atoms, written as CIF:
```
data_CaYRe2
_space_group_name_H-M_alt 'C m m m'
_space_group_IT_number 65
_space_group_name_Hall '-C 2 2'
_cell_length_a 5.6447
_cell_length_b 9.8030
_cell_length_c 2.7089
_cell_angle_alpha 90.00
_cell_angle_beta 90.00
_cell_angle_gamma 90.00
loop_
_atom_site_label
_atom_site_fract_x
_atom_site_fract_y
_atom_site_fract_z
Ca1 0.0000 0.0000 0.0000
Y1 0.0000 0.5000 0.0000
Re1 0.2500 0.2500 0.5000
```

Summary:
The energy comes out at -8.147 eV/atom. The value obtained for the formation energy is 757.9 meV/atom. The magnetization is 0.0002 μB per atom.

---

[8]
Compound: Li2Fe2SiO6
Source: Alexandria via LeMat-Bulk
Functional: GGA-PBEsol
Structure: optimized geometry

Cell and atoms, written as CIF:
```
data_Li2Fe2SiO6
_space_group_name_H-M_alt 'C 2 2 2'
_space_group_IT_number 21
_cell_length_a 5.2951
_cell_length_b 9.5329
_cell_length_c 6.0178
_cell_angle_alpha 90.00
_cell_angle_beta 90.00
_cell_angle_gamma 90.00
loop_
_space_group_symop_operation_xyz
'x,y,z'
'-x,-y,z'
'x,-y,-z'
'-x,y,-z'
'x+1/2,y+1/2,z'
'-x+1/2,-y+1/2,z'
'x+1/2,-y+1/2,-z'
'-x+1/2,y+1/2,-z'
loop_
_atom_site_label
_atom_site_fract_x
_atom_site_fract_y
_atom_site_fract_z
Li1 0.0000 0.0000 0.2148
Fe1 0.2500 0.2500 0.8307
Si1 0.0000 0.5000 0.5000
O1 0.0000 0.1617 0.0000
O2 0.1900 0.4076 0.6558
```

Summary:
The energy comes out at -7.184 eV/atom. The magnetization is 0.9100 μB per atom. The formation energy (no corrections) comes out at -1.811 eV per atom.

---

[9]
Compound: LaCuSe2
Source: Alexandria via LeMat-Bulk
Functional: GGA-PBEsol
Structure: optimized geometry

Cell and atoms, written as CIF:
```
data_LaCuSe2
_space_group_name_H-M_alt 'R -3 m'
_space_group_IT_number 166
_space_group_name_Hall '-R 3 2"'
_cell_length_a 3.6695
_cell_length_b 3.6695
_cell_length_c 25.2453
_cell_angle_alpha 90.00
_cell_angle_beta 90.00
_cell_angle_gamma 120.00
loop_
_atom_site_label
_atom_site_fract_x
_atom_site_fract_y
_atom_site_fract_z
La1 0.0000 0.0000 0.0000
Cu1 0.0000 0.0000 0.5000
Se1 0.0000 0.0000 0.1142
```

Summary:
The energy comes out at -4.586 eV/atom. The magnetization is 0.0000 μB per atom. The formation energy (no corrections) comes out at -0.241 eV per atom.

---

[10]
Compound: CoPPt3
Source: Alexandria via LeMat-Bulk
Functional: GGA-PBEsol
Structure: optimized geometry

Cell and atoms, written as CIF:
```
data_CoPPt3
_space_group_name_H-M_alt 'P m -3 m'
_space_group_IT_number 221
_space_group_name_Hall '-P 4 2 3'
_cell_length_a 4.4048
_cell_length_b 4.4048
_cell_length_c 4.4048
_cell_angle_alpha 90.00
_cell_angle_beta 90.00
_cell_angle_gamma 90.00
loop_
_atom_site_label
_atom_site_fract_x
_atom_site_fract_y
_atom_site_fract_z
Co1 0.0000 0.0000 0.0000
P1 0.5000 0.5000 0.5000
Pt1 0.0000 0.5000 0.5000
```

Summary:
The energy comes out at -6.321 eV/atom. The value obtained for the formation energy is 562.6 meV/atom. The magnetization is 0.4521 μB per atom.